First-principles (SCAN) data for SrCaSb2 at its PBEsol-relaxed geometry, as listed in Alexandria.

Values from the calculation:
Magnetic moment ... 0.000 μB/atom
DOS(E_F) ... 0.708 states/eV per atom
Raw total energy ... -27.45 eV/atom
Energy relative to the elements, uncorrected ... -0.83 eV per atom

Lattice parameters (Å, degrees): 7.828 7.828 7.828 90.00 90.00 90.00
Space group Fm-3m (No. 225)
Symmetry-distinct sites (fractional):
Sr: 0.000 0.000 0.000 x4
Ca: 0.000 0.000 0.500 x4
Sb: 0.250 0.250 0.250 x8